# 1
Material: K4Y3SiO8
Method: DFT, PBE-GGA
State: optimized geometry

extended XYZ file:
```
16
Lattice="3.362 1.941 6.261 -3.362 1.941 6.261 0.000 -3.883 6.261" Properties=species:S:1:pos:R:3 pbc="T T T"
K 0.000 0.000 0.000
K -1.681 -0.971 6.261
K -1.681 0.971 12.522
K 0.000 1.941 6.261
Y -3.362 0.000 9.391
Y -1.681 0.971 3.130
Y 1.681 0.971 3.130
Si 0.000 0.000 9.391
O 0.000 0.000 4.337
O -1.408 -0.813 10.433
O 0.000 -1.626 8.349
O -1.408 0.813 8.349
O 1.408 -0.813 10.433
O 0.000 1.626 10.433
O 1.408 0.813 8.349
O 0.000 0.000 14.445
```

Computed properties:
V (Å³/cell): 245
Formation energy from raw total energies (kJ/mol of formula units): -3681
Total magnetization (μB/f.u.): 0.00
Calculated total energy (eV/atom): -6.689

=====

# 2
Material: Ac2OsI
Method: DFT, PBE-GGA
State: optimized geometry

extended XYZ file:
```
4
Lattice="2.202 1.272 8.507 -2.202 1.272 8.507 0.000 -2.543 8.507" Properties=species:S:1:pos:R:3 pbc="T T T"
Ac 0.000 0.000 5.808
Ac 0.000 0.000 19.714
Os 0.000 0.000 12.761
I 0.000 0.000 0.000
```

Computed properties:
V (Å³/cell): 143
Formation energy from raw total energies (kJ/mol of formula units): -214
Total magnetization (μB/f.u.): 0.00
Polymorph energy (0 for the lowest one) (eV per atom): 0.000
Calculated total energy (eV/atom): -5.803

=====

# 3
Material: BaHo2
Method: DFT, PBE-GGA
State: optimized geometry

extended XYZ file:
```
6
Lattice="0.000 4.991 4.991 4.991 0.000 4.991 4.991 4.991 0.000" Properties=species:S:1:pos:R:3 pbc="T T T"
Ba 1.248 1.248 1.248
Ba 8.734 8.734 8.734
Ho 4.991 2.495 2.495
Ho 2.495 4.991 2.495
Ho 2.495 2.495 4.991
Ho 4.991 4.991 4.991
```

Computed properties:
V (Å³/cell): 249
Total magnetization (μB/f.u.): 0.45
ΔH_f (0 K) (eV per atom): 0.35
Calculated total energy (eV/atom): -3.347